# 1
# Y3Pt5 (PBEsol, optimized geometry)
data_Y3Pt5
_chemical_formula_sum 'Y3 Pt5'
_space_group_name_H-M_alt 'P 1'
_space_group_IT_number 1
_space_group_name_Hall 'P 1'
_cell_length_a 4.7168
_cell_length_b 5.7044
_cell_length_c 5.7044
_cell_angle_alpha 101.52
_cell_angle_beta 90.00
_cell_angle_gamma 90.00
loop_
_atom_site_label
_atom_site_type_symbol
_atom_site_fract_x
_atom_site_fract_y
_atom_site_fract_z
_atom_site_occupancy
Y1 Y 0.0000 0.5000 0.5000 1
Y2 Y 0.5000 0.7924 0.2076 1
Y3 Y 0.5000 0.2076 0.7924 1
Pt1 Pt 0.0000 0.0000 0.0000 1
Pt2 Pt 0.0000 0.5000 0.0000 1
Pt3 Pt 0.0000 0.0000 0.5000 1
Pt4 Pt 0.5000 0.7066 0.7066 1
Pt5 Pt 0.5000 0.2934 0.2934 1
# Density of states at the Fermi level ... 2.89 states/eV per cell
# SG ... Cmmm
# Formation energy ... -1.0403 eV per atom

=====

# 2
# SbTe2Os (PBEsol, optimized geometry)
data_SbTe2Os
_chemical_formula_sum 'Sb1 Te2 Os1'
_space_group_name_H-M_alt 'P 1'
_space_group_IT_number 1
_space_group_name_Hall 'P 1'
_cell_length_a 3.1159
_cell_length_b 3.1159
_cell_length_c 10.7756
_cell_angle_alpha 90.00
_cell_angle_beta 90.00
_cell_angle_gamma 118.15
loop_
_atom_site_label
_atom_site_type_symbol
_atom_site_fract_x
_atom_site_fract_y
_atom_site_fract_z
_atom_site_occupancy
Os1 Os 0.5000 0.5000 0.5000 1
Sb1 Sb 0.5000 0.5000 0.0000 1
Te1 Te 0.0000 0.0000 0.2988 1
Te2 Te 0.0000 0.0000 0.7012 1
# Density of states at the Fermi level ... 2.74 states/eV per cell
# SG ... Cmmm
# Formation energy without anion corrections ... 605 meV per atom